Record 1
Material: KCr2Cd
Method: DFT, PBE
State: optimized geometry

extended XYZ file:
```
4
Lattice="-8.337 -4.755 -4.649 -6.790 -7.453 -3.476 -8.859 -5.740 -1.518" Properties=species:S:1:pos:R:3 pbc="T T T"
Cr -0.346 -0.259 -0.139
Cd -17.990 -13.462 -7.232
K -5.997 -4.487 -2.411
Cr -11.647 -8.716 -4.682
```

As for the space group: R-3m. The value obtained for the calculated formation energy is 1.02 eV/atom.

=====

Record 2
Material: KCrCd2
Method: DFT, PBE
State: optimized geometry

extended XYZ file:
```
4
Lattice="-0.674 5.458 0.776 -5.416 -0.459 -1.141 -0.619 -0.524 3.149" Properties=species:S:1:pos:R:3 pbc="T T T"
K -3.018 -0.492 1.004
Cd 0.000 0.000 0.000
Cd -3.045 2.500 -0.182
Cr -0.646 2.467 1.963
```

As for the space group: Cmmm. The value obtained for the calculated formation energy is 0.51 eV/atom.

=====

Record 3
Material: KCr2Cd
Method: DFT, PBE
State: optimized geometry

extended XYZ file:
```
4
Lattice="-2.556 -3.434 1.957 -1.606 -1.193 -4.190 3.553 -2.943 -0.524" Properties=species:S:1:pos:R:3 pbc="T T T"
K -2.081 -2.314 -1.116
Cr 0.974 -2.068 -2.357
Cd 0.499 -3.188 0.717
Cr 0.000 0.000 0.000
```

As for the space group: P4/mmm. The value obtained for the calculated formation energy is 1.07 eV/atom.

=====

Record 4
Material: KCr2Cd
Method: DFT, PBE
State: optimized geometry

extended XYZ file:
```
4
Lattice="-1.318 -3.871 -4.658 5.982 0.616 1.502 0.680 -2.813 1.243" Properties=species:S:1:pos:R:3 pbc="T T T"
Cr 2.332 -1.628 -1.578
K -0.319 -3.342 -1.707
Cd 3.331 -1.098 1.373
Cr 0.000 0.000 0.000
```

As for the space group: C2/m. The value obtained for the calculated formation energy is 1.07 eV/atom.

=====

Record 5
Material: KCr2Cd
Method: DFT, PBE
State: optimized geometry

extended XYZ file:
```
4
Lattice="3.275 0.000 0.000 0.000 5.578 0.000 0.000 0.000 5.374" Properties=species:S:1:pos:R:3 pbc="T T T"
Cr 0.000 0.000 0.000
Cd 0.000 2.789 2.687
K 1.638 0.000 2.687
Cr 1.638 2.789 0.000
```

As for the space group: Pmmm. The value obtained for the calculated formation energy is 1.07 eV/atom.

=====

Record 6
Material: KCr2Cd
Method: DFT, PBE
State: optimized geometry

extended XYZ file:
```
4
Lattice="-4.526 2.357 -1.728 -5.295 -0.344 -0.936 -1.867 2.277 5.945" Properties=species:S:1:pos:R:3 pbc="T T T"
Cd -2.922 1.072 0.820
Cr -9.911 2.309 -1.743
K -8.766 3.217 2.461
Cr -5.754 1.849 0.720
```

As for the space group: C2/m. The value obtained for the calculated formation energy is 0.85 eV/atom.

=====

Record 7
Material: K2CrCd
Method: DFT, PBE
State: optimized geometry

extended XYZ file:
```
4
Lattice="-11.534 3.618 2.212 -11.991 2.367 -1.273 -12.184 -0.005 1.600" Properties=species:S:1:pos:R:3 pbc="T T T"
Cd -8.927 1.495 0.635
Cr -26.782 4.485 1.905
K -17.758 2.974 1.263
K -0.097 0.016 0.007
```

As for the space group: R-3m. The value obtained for the calculated formation energy is 0.71 eV/atom.

=====

Record 8
Material: KCrCd2
Method: DFT, PBE
State: optimized geometry

extended XYZ file:
```
4
Lattice="-3.435 0.558 3.989 -3.503 -3.832 1.032 0.513 -2.949 4.366" Properties=species:S:1:pos:R:3 pbc="T T T"
Cd -1.606 -1.556 2.347
K -4.819 -4.667 7.041
Cd 0.000 0.000 0.000
Cr -3.213 -3.112 4.694
```

As for the space group: F-43m. The value obtained for the calculated formation energy is 0.54 eV/atom.

=====

Record 9
Material: KCrCd2
Method: DFT, PBE
State: optimized geometry

extended XYZ file:
```
4
Lattice="-1.598 2.669 -2.474 -2.404 -2.017 -0.624 -6.724 1.241 5.682" Properties=species:S:1:pos:R:3 pbc="T T T"
K -7.645 0.752 2.557
Cd -2.692 -1.796 -0.200
Cr -3.081 1.141 0.028
Cd -4.277 -0.609 2.105
```

As for the space group: P2/m. The value obtained for the calculated formation energy is 0.33 eV/atom.

=====

Record 10
Material: KCrCd2
Method: DFT, PBE
State: optimized geometry

extended XYZ file:
```
4
Lattice="-0.863 -3.814 -3.180 2.117 -4.021 -2.180 -2.108 -4.979 5.250" Properties=species:S:1:pos:R:3 pbc="T T T"
Cr -0.640 -9.610 -0.083
Cd -1.934 -4.751 4.777
Cd -0.601 -6.634 0.418
K -0.213 -3.203 -0.028
```

As for the space group: C2/m. The value obtained for the calculated formation energy is 0.41 eV/atom.

=====

Record 11
Material: K2CrCd
Method: DFT, PBE
State: optimized geometry

extended XYZ file:
```
4
Lattice="-3.258 -4.938 2.360 -0.643 -4.199 -4.746 5.214 2.906 2.221" Properties=species:S:1:pos:R:3 pbc="T T T"
Cr 0.003 -3.300 1.694
K 0.000 0.000 0.000
K -1.951 -4.568 -1.193
Cd 1.310 -2.930 -1.859
```

As for the space group: I4/mmm. The value obtained for the calculated formation energy is 0.61 eV/atom.

=====

Record 12
Material: KCrCd2
Method: DFT, PBE
State: optimized geometry

extended XYZ file:
```
4
Lattice="-4.393 -0.906 -9.836 -7.016 -2.087 -7.955 -6.633 1.295 -8.437" Properties=species:S:1:pos:R:3 pbc="T T T"
Cd -17.851 -1.679 -25.949
K -13.544 -1.274 -19.689
Cr -9.266 -0.872 -13.469
Cd -4.446 -0.418 -6.463
```

As for the space group: R3m. The value obtained for the calculated formation energy is 0.57 eV/atom.